--- P ---
This record from Alexandria via LeMat-Bulk describes a geometry-optimized InSnTeBr structure. The functional is PBE-GGA.

Results
Mass density, g/cm³: 4.7

The structure in CIF format:
```
data_InSnTeBr
_chemical_formula_sum 'In2 Sn2 Te2 Br2'
_cell_length_a 5.460
_cell_length_b 5.460
_cell_length_c 12.376
_cell_angle_alpha 77.26
_cell_angle_beta 77.26
_cell_angle_gamma 60.00
_space_group_name_H-M_alt 'P 1'
_space_group_IT_number 1
_space_group_name_Hall 'P 1'
loop_
_atom_site_label
_atom_site_type_symbol
_atom_site_fract_x
_atom_site_fract_y
_atom_site_fract_z
_atom_site_occupancy
Te1 Te 0.120 0.120 0.639 1
Te2 Te 0.880 0.880 0.361 1
Sn1 Sn 0.795 0.795 0.616 1
Sn2 Sn 0.205 0.205 0.384 1
Br1 Br 0.701 0.701 0.897 1
Br2 Br 0.299 0.299 0.103 1
In1 In 0.386 0.386 0.843 1
In2 In 0.614 0.614 0.157 1
```

***

--- Q ---
This record from Alexandria via LeMat-Bulk describes a geometry-optimized InSnTeBr structure. The functional is PBE-GGA.

Results
Mass density, g/cm³: 6.2

The structure in CIF format:
```
data_InSnTeBr
_chemical_formula_sum 'In1 Sn1 Te1 Br1'
_cell_length_a 5.520
_cell_length_b 5.520
_cell_length_c 5.520
_cell_angle_alpha 60.00
_cell_angle_beta 60.00
_cell_angle_gamma 60.00
_space_group_name_H-M_alt 'P 1'
_space_group_IT_number 1
_space_group_name_Hall 'P 1'
loop_
_atom_site_label
_atom_site_type_symbol
_atom_site_fract_x
_atom_site_fract_y
_atom_site_fract_z
_atom_site_occupancy
In1 In 0.000 0.000 0.000 1
Sn1 Sn 0.500 0.500 0.500 1
Te1 Te 0.750 0.750 0.750 1
Br1 Br 0.250 0.250 0.250 1
```

***

Most stable of them? P.

***

--- P ---
This record from Alexandria via LeMat-Bulk describes a geometry-optimized SrInBr structure. The functional is PBE-GGA.

Results
Mass density, g/cm³: 4.4

The structure in CIF format:
```
data_SrInBr
_chemical_formula_sum 'Sr2 In2 Br2'
_cell_length_a 4.795
_cell_length_b 4.795
_cell_length_c 11.171
_cell_angle_alpha 77.61
_cell_angle_beta 77.61
_cell_angle_gamma 60.00
_space_group_name_H-M_alt 'P 1'
_space_group_IT_number 1
_space_group_name_Hall 'P 1'
loop_
_atom_site_label
_atom_site_type_symbol
_atom_site_fract_x
_atom_site_fract_y
_atom_site_fract_z
_atom_site_occupancy
In1 In 0.160 0.160 0.520 1
In2 In 0.840 0.840 0.480 1
Br1 Br 0.711 0.711 0.866 1
Br2 Br 0.289 0.289 0.134 1
Sr1 Sr 0.577 0.577 0.268 1
Sr2 Sr 0.423 0.423 0.732 1
```

***

--- Q ---
This record from Alexandria via LeMat-Bulk describes a geometry-optimized SrInBr structure. The functional is PBE-GGA.

Results
Mass density, g/cm³: 3.9

The structure in CIF format:
```
data_SrInBr
_chemical_formula_sum 'Sr1 In1 Br1'
_cell_length_a 5.551
_cell_length_b 5.551
_cell_length_c 5.551
_cell_angle_alpha 60.00
_cell_angle_beta 60.00
_cell_angle_gamma 60.00
_space_group_name_H-M_alt 'P 1'
_space_group_IT_number 1
_space_group_name_Hall 'P 1'
loop_
_atom_site_label
_atom_site_type_symbol
_atom_site_fract_x
_atom_site_fract_y
_atom_site_fract_z
_atom_site_occupancy
In1 In 0.500 0.500 0.500 1
Sr1 Sr 0.750 0.750 0.750 1
Br1 Br 0.000 0.000 0.000 1
```

***

--- R ---
This record from Alexandria via LeMat-Bulk describes a geometry-optimized SrInBr structure. The functional is PBE-GGA.

Results
Mass density, g/cm³: 4.3

The structure in CIF format:
```
data_SrInBr
_chemical_formula_sum 'Sr1 In1 Br1'
_cell_length_a 5.317
_cell_length_b 5.317
_cell_length_c 4.488
_cell_angle_alpha 90.00
_cell_angle_beta 90.00
_cell_angle_gamma 120.00
_space_group_name_H-M_alt 'P 1'
_space_group_IT_number 1
_space_group_name_Hall 'P 1'
loop_
_atom_site_label
_atom_site_type_symbol
_atom_site_fract_x
_atom_site_fract_y
_atom_site_fract_z
_atom_site_occupancy
Sr1 Sr 0.667 0.333 0.834 1
Br1 Br 0.000 0.000 0.833 1
In1 In 0.333 0.667 0.334 1
```

***

--- S ---
This record from Alexandria via LeMat-Bulk describes a geometry-optimized SrInBr structure. The functional is PBE-GGA.

Results
Mass density, g/cm³: 3.9

The structure in CIF format:
```
data_SrInBr
_chemical_formula_sum 'Sr1 In1 Br1'
_cell_length_a 4.096
_cell_length_b 4.096
_cell_length_c 8.356
_cell_angle_alpha 90.00
_cell_angle_beta 90.00
_cell_angle_gamma 120.00
_space_group_name_H-M_alt 'P 1'
_space_group_IT_number 1
_space_group_name_Hall 'P 1'
loop_
_atom_site_label
_atom_site_type_symbol
_atom_site_fract_x
_atom_site_fract_y
_atom_site_fract_z
_atom_site_occupancy
Br1 Br 0.000 0.000 0.921 1
In1 In 0.667 0.333 0.383 1
Sr1 Sr 0.333 0.667 0.696 1
```

***

Most stable of them? P.

***

--- P ---
This record from Alexandria via LeMat-Bulk describes a geometry-optimized SrInBr4 structure. The functional is PBE-GGA.

Results
Mass density, g/cm³: 4.1

The structure in CIF format:
```
data_SrInBr4
_chemical_formula_sum 'Sr2 In2 Br8'
_cell_length_a 7.423
_cell_length_b 7.310
_cell_length_c 9.241
_cell_angle_alpha 111.90
_cell_angle_beta 112.30
_cell_angle_gamma 93.22
_space_group_name_H-M_alt 'P 1'
_space_group_IT_number 1
_space_group_name_Hall 'P 1'
loop_
_atom_site_label
_atom_site_type_symbol
_atom_site_fract_x
_atom_site_fract_y
_atom_site_fract_z
_atom_site_occupancy
Br1 Br 0.749 0.973 0.573 1
Br2 Br 0.324 0.600 0.573 1
Br3 Br 0.676 0.400 0.427 1
Br4 Br 0.957 0.319 0.078 1
Br5 Br 0.621 0.759 0.078 1
Br6 Br 0.043 0.681 0.922 1
Br7 Br 0.251 0.027 0.427 1
Br8 Br 0.379 0.241 0.922 1
Sr1 Sr 0.373 0.623 0.245 1
Sr2 Sr 0.627 0.377 0.755 1
In1 In 0.890 0.140 0.280 1
In2 In 0.110 0.860 0.720 1
```

***

--- Q ---
This record from Alexandria via LeMat-Bulk describes a geometry-optimized SrInBr4 structure. The functional is PBE-GGA.

Results
Mass density, g/cm³: 4.3

The structure in CIF format:
```
data_SrInBr4
_chemical_formula_sum 'Sr1 In1 Br4'
_cell_length_a 6.557
_cell_length_b 6.557
_cell_length_c 6.557
_cell_angle_alpha 60.00
_cell_angle_beta 60.00
_cell_angle_gamma 60.00
_space_group_name_H-M_alt 'P 1'
_space_group_IT_number 1
_space_group_name_Hall 'P 1'
loop_
_atom_site_label
_atom_site_type_symbol
_atom_site_fract_x
_atom_site_fract_y
_atom_site_fract_z
_atom_site_occupancy
Br1 Br 0.375 0.876 0.375 1
Br2 Br 0.375 0.375 0.876 1
Br3 Br 0.876 0.375 0.375 1
Br4 Br 0.375 0.375 0.375 1
In1 In 0.750 0.750 0.750 1
Sr1 Sr 0.000 0.000 0.000 1
```

***

Most stable of them? P.

***

--- P ---
This record from Alexandria via LeMat-Bulk describes a geometry-optimized SrIn2Br4 structure. The functional is PBE-GGA.

Results
Mass density, g/cm³: 3.6

The structure in CIF format:
```
data_SrIn2Br4
_chemical_formula_sum 'Sr1 In2 Br4'
_cell_length_a 4.544
_cell_length_b 8.495
_cell_length_c 8.943
_cell_angle_alpha 117.61
_cell_angle_beta 104.72
_cell_angle_gamma 90.00
_space_group_name_H-M_alt 'P 1'
_space_group_IT_number 1
_space_group_name_Hall 'P 1'
loop_
_atom_site_label
_atom_site_type_symbol
_atom_site_fract_x
_atom_site_fract_y
_atom_site_fract_z
_atom_site_occupancy
Br1 Br 0.386 0.751 0.773 1
Br2 Br 0.133 0.855 0.265 1
Br3 Br 0.614 0.249 0.227 1
Br4 Br 0.867 0.145 0.735 1
In1 In 0.282 0.271 0.564 1
In2 In 0.718 0.729 0.436 1
Sr1 Sr 0.000 0.000 0.000 1
```

***

--- Q ---
This record from Alexandria via LeMat-Bulk describes a geometry-optimized SrIn2Br4 structure. The functional is PBE-GGA.

Results
Mass density, g/cm³: 3.0

The structure in CIF format:
```
data_SrIn2Br4
_chemical_formula_sum 'Sr1 In2 Br4'
_cell_length_a 5.786
_cell_length_b 5.786
_cell_length_c 11.282
_cell_angle_alpha 75.14
_cell_angle_beta 75.14
_cell_angle_gamma 90.00
_space_group_name_H-M_alt 'P 1'
_space_group_IT_number 1
_space_group_name_Hall 'P 1'
loop_
_atom_site_label
_atom_site_type_symbol
_atom_site_fract_x
_atom_site_fract_y
_atom_site_fract_z
_atom_site_occupancy
In1 In 0.178 0.178 0.644 1
In2 In 0.822 0.822 0.356 1
Br1 Br 0.500 0.000 0.000 1
Br2 Br 0.000 0.500 0.000 1
Br3 Br 0.305 0.305 0.389 1
Br4 Br 0.695 0.695 0.611 1
Sr1 Sr 0.000 0.000 0.000 1
```

***

Most stable of them? P.

***

--- P ---
This record from Alexandria via LeMat-Bulk describes a geometry-optimized Sr2In2Br7 structure. The functional is PBE-GGA.

Results
Mass density, g/cm³: 4.3

The structure in CIF format:
```
data_Sr2In2Br7
_chemical_formula_sum 'Sr2 In2 Br7'
_cell_length_a 4.530
_cell_length_b 9.967
_cell_length_c 9.967
_cell_angle_alpha 58.27
_cell_angle_beta 76.86
_cell_angle_gamma 76.86
_space_group_name_H-M_alt 'P 1'
_space_group_IT_number 1
_space_group_name_Hall 'P 1'
loop_
_atom_site_label
_atom_site_type_symbol
_atom_site_fract_x
_atom_site_fract_y
_atom_site_fract_z
_atom_site_occupancy
Sr1 Sr 0.500 0.340 0.660 1
Sr2 Sr 0.000 0.803 0.197 1
In1 In 0.235 0.312 0.218 1
In2 In 0.765 0.782 0.688 1
Br1 Br 0.600 0.521 0.278 1
Br2 Br 0.194 0.686 0.927 1
Br3 Br 0.806 0.073 0.314 1
Br4 Br 0.500 0.013 0.987 1
Br5 Br 0.123 0.178 0.577 1
Br6 Br 0.400 0.722 0.479 1
Br7 Br 0.877 0.423 0.822 1
```

***

--- Q ---
This record from Alexandria via LeMat-Bulk describes a geometry-optimized Sr2In2Br7 structure. The functional is PBE-GGA.

Results
Mass density, g/cm³: 3.6

The structure in CIF format:
```
data_Sr2In2Br7
_chemical_formula_sum 'Sr2 In2 Br7'
_cell_length_a 8.458
_cell_length_b 7.560
_cell_length_c 7.560
_cell_angle_alpha 110.94
_cell_angle_beta 94.73
_cell_angle_gamma 94.73
_space_group_name_H-M_alt 'P 1'
_space_group_IT_number 1
_space_group_name_Hall 'P 1'
loop_
_atom_site_label
_atom_site_type_symbol
_atom_site_fract_x
_atom_site_fract_y
_atom_site_fract_z
_atom_site_occupancy
Br1 Br 0.821 0.340 0.340 1
Br2 Br 0.179 0.660 0.660 1
Br3 Br 0.500 0.000 0.000 1
Br4 Br 0.230 0.439 0.071 1
Br5 Br 0.770 0.929 0.561 1
Br6 Br 0.230 0.071 0.439 1
Br7 Br 0.770 0.561 0.929 1
In1 In 0.544 0.688 0.688 1
In2 In 0.456 0.312 0.312 1
Sr1 Sr 0.000 0.690 0.310 1
Sr2 Sr 0.000 0.310 0.690 1
```

***

Most stable of them? Q.